Entry 1:
# NiTeCl2 PBE relaxed
data_NiTeCl2
_cell_length_a 4.868
_cell_length_b 4.868
_cell_length_c 4.868
_cell_angle_alpha 60.00
_cell_angle_beta 60.00
_cell_angle_gamma 60.00
_symmetry_space_group_name_H-M 'P 1'
_symmetry_Int_Tables_number 1
_symmetry_space_group_name_Hall 'P 1'
loop_
_atom_site_label
_atom_site_fract_x
_atom_site_fract_y
_atom_site_fract_z
Ni1 0.000 0.000 0.000
Te1 0.500 0.500 0.500
Cl1 0.250 0.250 0.250
Cl2 0.750 0.750 0.750
# M_tot, μB/f.u.: 0.00
# Formation energy without anion corrections, eV per atom: 0.618
# Space-group type: No. 225
# VASP energy, eV per atom: -2.54
# Relative energy among the computed polymorphs, meV/atom: 1017


Entry 2:
# MnGaBRuSe PBE relaxed
data_MnGaBRuSe
_cell_length_a 5.674
_cell_length_b 3.061
_cell_length_c 8.068
_cell_angle_alpha 90.00
_cell_angle_beta 93.36
_cell_angle_gamma 90.00
_symmetry_space_group_name_H-M 'P 1'
_symmetry_Int_Tables_number 1
_symmetry_space_group_name_Hall 'P 1'
loop_
_atom_site_label
_atom_site_fract_x
_atom_site_fract_y
_atom_site_fract_z
Ru1 0.904 0.000 0.508
Ru2 0.904 0.500 0.008
B1 0.651 0.000 0.913
B2 0.651 0.500 0.413
Mn1 0.631 0.000 0.223
Mn2 0.631 0.500 0.723
Ga1 0.396 0.000 0.514
Ga2 0.396 0.500 0.014
Se1 0.070 0.000 0.230
Se2 0.070 0.500 0.730
# M_tot, μB/f.u.: 2.08
# Formation energy without anion corrections, eV per atom: 0.046
# Space-group type: No. 8
# VASP energy, eV per atom: -6.28
# Relative energy among the computed polymorphs, meV/atom: 264


Entry 3:
# Na2SrCl2 PBE relaxed
data_Na2SrCl2
_cell_length_a 4.026
_cell_length_b 4.026
_cell_length_c 10.326
_cell_angle_alpha 78.76
_cell_angle_beta 78.76
_cell_angle_gamma 90.00
_symmetry_space_group_name_H-M 'P 1'
_symmetry_Int_Tables_number 1
_symmetry_space_group_name_Hall 'P 1'
loop_
_atom_site_label
_atom_site_fract_x
_atom_site_fract_y
_atom_site_fract_z
Sr1 0.000 0.000 0.000
Na1 0.750 0.250 0.500
Na2 0.250 0.750 0.500
Cl1 0.421 0.421 0.158
Cl2 0.579 0.579 0.842
# M_tot, μB/f.u.: 0.00
# Formation energy without anion corrections, eV per atom: -1.089
# Space-group type: No. 139
# VASP energy, eV per atom: -2.69
# Relative energy among the computed polymorphs, meV/atom: 204


Entry 4:
# Nd4GeRhI2 PBE relaxed
data_Nd4GeRhI2
_cell_length_a 4.217
_cell_length_b 7.676
_cell_length_c 8.199
_cell_angle_alpha 106.44
_cell_angle_beta 90.00
_cell_angle_gamma 90.00
_symmetry_space_group_name_H-M 'P 1'
_symmetry_Int_Tables_number 1
_symmetry_space_group_name_Hall 'P 1'
loop_
_atom_site_label
_atom_site_fract_x
_atom_site_fract_y
_atom_site_fract_z
Nd1 0.500 0.245 0.190
Nd2 0.500 0.755 0.810
Nd3 0.000 0.281 0.813
Nd4 0.000 0.719 0.187
Ge1 0.000 0.000 0.000
Rh1 0.500 0.500 0.000
I1 0.500 0.000 0.500
I2 0.000 0.500 0.500
# M_tot, μB/f.u.: 0.00
# Formation energy without anion corrections, eV per atom: -0.926
# Space-group type: No. 10
# VASP energy, eV per atom: -5.19


Entry 5:
# CsInI6 PBE relaxed
data_CsInI6
_cell_length_a 7.223
_cell_length_b 7.223
_cell_length_c 7.223
_cell_angle_alpha 96.09
_cell_angle_beta 96.09
_cell_angle_gamma 96.09
_symmetry_space_group_name_H-M 'P 1'
_symmetry_Int_Tables_number 1
_symmetry_space_group_name_Hall 'P 1'
loop_
_atom_site_label
_atom_site_fract_x
_atom_site_fract_y
_atom_site_fract_z
Cs1 0.000 0.000 0.000
In1 0.500 0.500 0.500
I1 0.212 0.585 0.212
I2 0.212 0.212 0.585
I3 0.788 0.415 0.788
I4 0.415 0.788 0.788
I5 0.788 0.788 0.415
I6 0.585 0.212 0.212
# M_tot, μB/f.u.: 0.00
# Formation energy without anion corrections, eV per atom: -0.464
# Space-group type: No. 166
# VASP energy, eV per atom: -2.08


Entry 6:
# AlGaSn2Bi PBE relaxed
data_AlGaSn2Bi
_cell_length_a 5.406
_cell_length_b 4.866
_cell_length_c 5.406
_cell_angle_alpha 90.00
_cell_angle_beta 90.00
_cell_angle_gamma 90.00
_symmetry_space_group_name_H-M 'P 1'
_symmetry_Int_Tables_number 1
_symmetry_space_group_name_Hall 'P 1'
loop_
_atom_site_label
_atom_site_fract_x
_atom_site_fract_y
_atom_site_fract_z
Al1 0.000 0.500 0.000
Bi1 0.500 0.500 0.500
Ga1 0.000 0.000 0.000
Sn1 0.000 0.000 0.500
Sn2 0.500 0.000 0.000
# M_tot, μB/f.u.: 0.00
# ΔE_f, eV per atom: 0.334
# Space-group type: No. 123
# VASP energy, eV per atom: -3.40


Entry 7:
# AcLaPrRu PBE relaxed
data_AcLaPrRu
_cell_length_a 3.965
_cell_length_b 3.965
_cell_length_c 10.353
_cell_angle_alpha 90.13
_cell_angle_beta 100.80
_cell_angle_gamma 120.32
_symmetry_space_group_name_H-M 'P 1'
_symmetry_Int_Tables_number 1
_symmetry_space_group_name_Hall 'P 1'
loop_
_atom_site_label
_atom_site_fract_x
_atom_site_fract_y
_atom_site_fract_z
Ac1 0.456 0.613 0.069
La1 0.569 0.169 0.738
Pr1 0.341 0.054 0.395
Ru1 0.789 0.782 0.572
# M_tot, μB/f.u.: 0.00
# ΔE_f, eV per atom: 0.021
# Space-group type: No. 8
# VASP energy, eV per atom: -5.75


Entry 8:
# Er5Tm6Tl PBE relaxed
data_Er5Tm6Tl
_cell_length_a 11.507
_cell_length_b 6.007
_cell_length_c 6.013
_cell_angle_alpha 60.03
_cell_angle_beta 84.94
_cell_angle_gamma 79.83
_symmetry_space_group_name_H-M 'P 1'
_symmetry_Int_Tables_number 1
_symmetry_space_group_name_Hall 'P 1'
loop_
_atom_site_label
_atom_site_fract_x
_atom_site_fract_y
_atom_site_fract_z
Er1 0.500 0.166 0.667
Er2 0.000 0.334 0.332
Er3 0.500 0.500 0.000
Er4 0.000 0.666 0.668
Er5 0.500 0.834 0.333
Tm1 0.752 0.081 0.331
Tm2 0.248 0.588 0.331
Tm3 0.249 0.249 0.000
Tm4 0.751 0.751 0.000
Tm5 0.752 0.412 0.669
Tm6 0.248 0.919 0.669
Tl1 0.000 0.000 0.000
# M_tot, μB/f.u.: 0.01
# ΔE_f, eV per atom: -0.008
# Space-group type: No. 12
# VASP energy, eV per atom: -4.34